{
  "formula": "ScAl3",
  "functional": "PBE",
  "state": "optimized geometry",
  "sg": "I4/mmm, No. 139",
  "e_form_ev_per_atom": -0.37,
  "lattice": [[5.2326, -0.0131, 0.0000], [2.1488, 4.7710, 0.0000], [-3.6907, -2.3789, 2.8460]],
  "species": ["Al", "Al", "Al", "Sc"],
  "frac_coords": [[0.5000, 0.5000, 0.0000], [0.2500, 0.7500, 0.5000], [0.7500, 0.2500, 0.5000], [0.0000, 0.0000, 0.0000]]
}